First-principles (PBE) data for a relaxed structure of GdTm2NiSn3Pt2, as listed in OQMD.

The structure in POSCAR format:
```
GdTm2NiSn3Pt2
1.0
3.8956 0.0000 0.0000
0.0000 6.5042 3.7342
0.0000 -6.5042 3.7342
Sn Tm Gd Pt Ni
3 2 1 2 1
Direct
0.5000 0.2483 0.9989
0.5000 0.9989 0.2483
0.5000 0.7511 0.7511
0.0000 0.0000 0.5951
0.0000 0.5951 0.0000
0.0000 0.4064 0.4064
0.5000 0.3320 0.6708
0.5000 0.6708 0.3320
0.0000 0.9974 0.9974
```

Values from the calculation:
Uncorrected energy: -5.792 eV/atom
Size of the total moment: 0.001 μB/f.u.